(1)
A relaxed structure of CuICl. Source: the Alexandria database, functional PBE.

Properties
Its electronic total energy is -2.79 eV per atom. The value obtained for the uncorrected formation energy is -0.297 eV/atom. The calculation puts the calculated volume at 85.0 Å³/f.u.

abc: 4.0835 6.4321 7.1806
angles: 70.91 73.49 89.79
Element x y z (fractional)
Cu  0.1491  0.0240  0.1994
Cu  0.8509  0.9760  0.8006
I  0.0279  0.2832  0.4437
I  0.9721  0.7168  0.5563
Cl  0.2682  0.8105  0.9670
Cl  0.7318  0.1895  0.0330


(2)
A relaxed structure of DyErAlTc. Source: the Alexandria database, functional PBE.

Properties
Its electronic total energy is -5.99 eV per atom. For the formation energy from the elements, the calculation gives -4.0 kcal/mol of atoms. The calculation puts the calculated volume at 85.8 Å³/f.u.

abc: 4.9511 4.9511 4.9511
angles: 60.00 60.00 60.00
Element x y z (fractional)
Dy  0.0000  0.0000  0.0000
Er  0.5000  0.5000  0.5000
Al  0.7500  0.7500  0.7500
Tc  0.2500  0.2500  0.2500


(3)
A relaxed structure of ReIr4Rh. Source: the Alexandria database, functional PBE.

Properties
Its electronic total energy is -9.28 eV per atom. For the formation energy from the elements, the calculation gives -1.8 kcal/mol of atoms. The calculation puts the calculated volume at 87.2 Å³/f.u.

abc: 2.7304 3.8899 8.2107
angles: 90.00 90.00 90.00
Element x y z (fractional)
Re  0.0000  0.0000  0.0000
Ir  0.0000  0.0000  0.3310
Ir  0.0000  0.0000  0.6690
Ir  0.5000  0.5000  0.1640
Ir  0.5000  0.5000  0.8360
Rh  0.5000  0.5000  0.5000


(4)
A relaxed structure of ZnMoW2. Source: the Alexandria database, functional PBE.

Properties
Its electronic total energy is -9.26 eV per atom. For the formation energy from the elements, the calculation gives 5.7 kcal/mol of atoms. The calculation puts the calculated volume at 62.3 Å³/f.u.

abc: 3.2885 3.2885 5.7587
angles: 90.00 90.00 90.00
Element x y z (fractional)
Zn  0.0000  0.0000  0.0000
Mo  0.5000  0.5000  0.2395
W  0.0000  0.0000  0.4992
W  0.5000  0.5000  0.7580


(5)
A relaxed structure of Al2CoSe. Source: the Alexandria database, functional PBE.

Properties
Its electronic total energy is -4.63 eV per atom. The value obtained for the uncorrected formation energy is -0.110 eV/atom. The calculation puts the calculated volume at 59.5 Å³/f.u.

abc: 3.1739 3.1949 5.8839
angles: 90.00 94.16 90.00
Element x y z (fractional)
Al  0.0140  0.0000  0.2208
Al  0.9860  0.0000  0.7792
Co  0.5000  0.5000  0.0000
Se  0.5000  0.5000  0.5000


(6)
A relaxed structure of SbAuCl. Source: the Alexandria database, functional PBE.

Properties
Its electronic total energy is -3.32 eV per atom. The value obtained for the uncorrected formation energy is -0.242 eV/atom. The calculation puts the calculated volume at 77.6 Å³/f.u.

abc: 3.9187 5.1582 7.8754
angles: 77.11 89.84 89.97
Element x y z (fractional)
Sb  0.2483  0.4519  0.1908
Sb  0.7517  0.5481  0.8092
Au  0.2507  0.8632  0.9167
Au  0.7493  0.1368  0.0833
Cl  0.2507  0.2144  0.6353
Cl  0.7493  0.7856  0.3647